{
  "formula": "SmCoIr",
  "functional": "PBE",
  "state": "optimized geometry",
  "formation_energy_ev_per_fu": -1.2,
  "cell": [[4.085, 0.000, 0.000], [-2.043, 3.538, 0.000], [0.000, 0.000, 4.115]],
  "species": ["Sm", "Co", "Ir"],
  "frac_coords": [[0.000, 0.000, 0.000], [0.667, 0.333, 0.500], [0.333, 0.667, 0.500]]
}